Computed, not measured: a relaxed PmPr5Tl4 crystal at the GGA-PBE level of DFT.

Formation energy (meV per atom): -300

```
PmPr5Tl4
1.0
-1.0579 3.0308 1.8425
-1.9873 -2.0991 2.3118
18.1837 -2.0332 13.7850
Pm Pr Tl
1 5 4
direct
0.0000 0.0000 0.0000 Pm
0.5000 0.5000 0.1144 Pr
0.5000 0.5000 0.3068 Pr
0.5000 0.5000 0.5000 Pr
0.5000 0.5000 0.6932 Pr
0.5000 0.5000 0.8856 Pr
0.0000 0.0000 0.2101 Tl
0.0000 0.0000 0.4032 Tl
0.0000 0.0000 0.5968 Tl
0.0000 0.0000 0.7899 Tl
```


Computed, not measured: a relaxed Pm2Pr6Tl3 crystal at the GGA-PBE level of DFT.

Formation energy (meV per atom): 188

```
Pm2Pr6Tl3
1.0
5.5086 0.0000 0.0000
0.0000 5.5086 0.0000
-2.7543 -2.7543 12.6424
Pm Pr Tl
2 6 3
direct
0.4426 0.4426 0.8852 Pm
0.5574 0.5574 0.1148 Pm
0.1005 0.6005 0.2011 Pr
0.6005 0.1005 0.2011 Pr
0.8995 0.3995 0.7989 Pr
0.3995 0.8995 0.7989 Pr
0.6994 0.6994 0.3988 Pr
0.3006 0.3006 0.6012 Pr
0.0000 0.0000 0.0000 Tl
0.8252 0.8252 0.6503 Tl
0.1748 0.1748 0.3497 Tl
```


Computed, not measured: a relaxed PmPrTl6 crystal at the GGA-PBE level of DFT.

Formation energy (meV per atom): -318

```
PmPrTl6
1.0
-0.8830 -3.1562 3.5573
-2.7959 -2.5823 -2.9851
7.6950 -5.2032 -2.7063
Pm Pr Tl
1 1 6
direct
0.0000 0.0000 0.5000 Pm
0.0000 0.0000 0.0000 Pr
0.5000 0.5000 0.0000 Tl
0.5000 0.5000 0.5000 Tl
0.5000 0.0000 0.2519 Tl
0.5000 0.0000 0.7481 Tl
0.0000 0.5000 0.2519 Tl
0.0000 0.5000 0.7481 Tl
```


Computed, not measured: a relaxed Pm5Pr4Tl4 crystal at the GGA-PBE level of DFT.

Formation energy (meV per atom): -246

```
Pm5Pr4Tl4
1.0
5.1230 0.0000 1.3026
2.5615 8.9071 0.6513
0.3667 0.0000 9.2837
Pm Pr Tl
5 4 4
direct
0.6879 0.9108 0.7134 Pm
0.3121 0.0892 0.2866 Pm
0.0000 0.0000 0.0000 Pm
0.5987 0.7134 0.0892 Pm
0.4013 0.2866 0.9108 Pm
0.9063 0.4771 0.7102 Pr
0.6165 0.2898 0.4771 Pr
0.0937 0.5229 0.2898 Pr
0.3835 0.7102 0.5229 Pr
0.7707 0.3412 0.1174 Tl
0.2293 0.6588 0.8826 Tl
0.8881 0.8826 0.3412 Tl
0.1119 0.1174 0.6588 Tl
```


Computed, not measured: a relaxed Pm4Pr2Tl crystal at the GGA-PBE level of DFT.

Formation energy (meV per atom): -29

```
Pm4Pr2Tl
1.0
-5.1060 2.4819 1.5310
-2.3642 -0.9376 -6.3649
-1.4167 -11.6799 2.2468
Pm Pr Tl
8 4 2
direct
0.6308 0.4924 0.2834 Pm
0.9616 0.7500 0.8744 Pm
0.0384 0.2500 0.1256 Pm
0.6308 0.0076 0.2834 Pm
0.8509 0.2500 0.5660 Pm
0.3692 0.9924 0.7166 Pm
0.3692 0.5076 0.7166 Pm
0.1491 0.7500 0.4340 Pm
0.5402 0.7500 0.0242 Pr
0.4598 0.2500 0.9758 Pr
0.2696 0.2500 0.4275 Pr
0.7304 0.7500 0.5725 Pr
0.1091 0.7500 0.1628 Tl
0.8909 0.2500 0.8372 Tl
```


Computed, not measured: a relaxed Pm4Pr5Tl4 crystal at the GGA-PBE level of DFT.

Formation energy (meV per atom): -249

```
Pm4Pr5Tl4
1.0
5.0584 0.0000 1.2861
2.5292 9.0067 0.6431
0.3098 0.0000 9.3721
Pm Pr Tl
4 5 4
direct
0.9083 0.4813 0.7021 Pm
0.6104 0.2979 0.4813 Pm
0.0917 0.5187 0.2979 Pm
0.3896 0.7021 0.5187 Pm
0.6922 0.9087 0.7068 Pr
0.3078 0.0913 0.2932 Pr
0.0000 0.0000 0.0000 Pr
0.6009 0.7068 0.0913 Pr
0.3991 0.2932 0.9087 Pr
0.7664 0.3387 0.1284 Tl
0.2336 0.6613 0.8716 Tl
0.8949 0.8716 0.3387 Tl
0.1051 0.1284 0.6613 Tl
```


Computed, not measured: a relaxed Pm2PrTl crystal at the GGA-PBE level of DFT.

Formation energy (meV per atom): -111

```
Pm2PrTl
1.0
3.7164 0.0000 0.0000
1.8582 3.2185 0.0000
1.8582 1.0728 11.1118
Pr Tl Pm
1 1 2
direct
0.5000 0.5000 0.5000 Pr
0.0000 0.0000 0.0000 Tl
0.2557 0.2557 0.2330 Pm
0.7443 0.7443 0.7670 Pm
```


Computed, not measured: a relaxed PmPr3Tl2 crystal at the GGA-PBE level of DFT.

Formation energy (meV per atom): -273

```
PmPr3Tl2
1.0
5.3141 0.0000 0.0000
0.0000 6.9493 0.0000
0.0000 0.0000 10.4112
Pm Pr Tl
2 6 4
direct
0.5000 0.5476 0.5435 Pm
0.5000 0.0476 0.4565 Pm
0.0000 0.4499 0.9567 Pr
0.0000 0.9499 0.0433 Pr
0.5000 0.6831 0.1847 Pr
0.5000 0.1831 0.8153 Pr
0.0000 0.3176 0.3185 Pr
0.0000 0.8176 0.6815 Pr
0.5000 0.7077 0.8624 Tl
0.5000 0.2077 0.1376 Tl
0.0000 0.2940 0.6352 Tl
0.0000 0.7940 0.3648 Tl
```


Which value of formation energy does entry 4 give? -246 meV per atom


Repeat the third record exactly.
Computed, not measured: a relaxed PmPrTl6 crystal at the GGA-PBE level of DFT.

Formation energy (meV per atom): -318

```
PmPrTl6
1.0
-0.8830 -3.1562 3.5573
-2.7959 -2.5823 -2.9851
7.6950 -5.2032 -2.7063
Pm Pr Tl
1 1 6
direct
0.0000 0.0000 0.5000 Pm
0.0000 0.0000 0.0000 Pr
0.5000 0.5000 0.0000 Tl
0.5000 0.5000 0.5000 Tl
0.5000 0.0000 0.2519 Tl
0.5000 0.0000 0.7481 Tl
0.0000 0.5000 0.2519 Tl
0.0000 0.5000 0.7481 Tl
```